<A>
The following is a PBE calculation of a geometry-optimized SrTePI2 structure, from Alexandria.

Cell: 5.4412 5.4412 5.7076 Å, 90.00 90.00 90.00°
With the nearest neighbours (Å) after each atom.
Fractional coordinates of all 5 atoms:
I: 0.5000 0.0000 0.0000  2 P 2.72
I: 0.0000 0.5000 0.0000  2 P 2.72
Sr: 0.5000 0.5000 0.5000  4 Te 3.85, 8 I 3.94
Te: 0.0000 0.0000 0.5000  2 P 2.85
P: 0.0000 0.0000 0.0000  4 I 2.72, 2 Te 2.85

Summary:
For the theoretical density, the calculation gives 4.913 g/cm3. Its total moment is 0.000 μB per atom.

<B>
The following is a PBE calculation of a geometry-optimized SrTePI2 structure, from Alexandria.

Cell: 6.3231 6.3231 6.7633 Å, 90.00 90.00 90.00°
With the nearest neighbours (Å) after each atom.
Fractional coordinates of all 5 atoms:
Sr: 0.0000 0.0000 0.0000  4 I 3.16, 2 Te 3.38
I: 0.5000 0.0000 0.0000  2 Sr 3.16
I: 0.0000 0.5000 0.0000  2 Sr 3.16
Te: 0.0000 0.0000 0.5000  2 Sr 3.38
P: 0.5000 0.5000 0.5000  4 Te 4.47, 8 I 4.63

Summary:
For the theoretical density, the calculation gives 3.070 g/cm3. Its total moment is 0.211 μB per atom.

Stability comparison, relative energies in eV/atom: <A> 0.000; <B> 0.628

<A>
The following is a PBE calculation of a geometry-optimized SrTe2PI structure, from Alexandria.

Cell: 6.0311 6.1408 6.0311 Å, 90.00 90.00 90.00°
With the nearest neighbours (Å) after each atom.
Fractional coordinates of all 5 atoms:
P: 0.5000 0.5000 0.5000  4 Sr 4.26, 8 Te 4.30
I: 0.0000 0.0000 0.0000  4 Te 3.02, 2 Sr 3.07
Te: 0.5000 0.0000 0.0000  2 I 3.02
Te: 0.0000 0.0000 0.5000  2 I 3.02
Sr: 0.0000 0.5000 0.0000  2 I 3.07

Summary:
For the theoretical density, the calculation gives 3.722 g/cm3. Its total moment is 0.512 μB per atom.

<B>
The following is a PBE calculation of a geometry-optimized SrTe2PI structure, from Alexandria.

Cell: 5.4351 5.4351 5.4799 Å, 90.00 90.00 90.00°
With the nearest neighbours (Å) after each atom.
Fractional coordinates of all 5 atoms:
P: 0.0000 0.0000 0.0000  4 Te 2.72, 2 I 2.74
Te: 0.5000 0.0000 0.0000  2 P 2.72
Te: 0.0000 0.5000 0.0000  2 P 2.72
Sr: 0.5000 0.5000 0.5000  4 I 3.84, 8 Te 3.86
I: 0.0000 0.0000 0.5000  2 P 2.74

Summary:
For the theoretical density, the calculation gives 5.136 g/cm3. Its total moment is 0.000 μB per atom.

Stability comparison, relative energies in eV/atom: <A> 0.996; <B> 0.000

<A>
The following is a PBE calculation of a geometry-optimized Sr2TePI structure, from Alexandria.

Cell: 6.2355 5.8174 6.2355 Å, 90.00 90.00 90.00°
With the nearest neighbours (Å) after each atom.
Fractional coordinates of all 5 atoms:
Sr: 0.0000 0.0000 0.5000  2 I 3.12
I: 0.0000 0.0000 0.0000  2 Te 2.91, 4 Sr 3.12
Sr: 0.5000 0.0000 0.0000  2 I 3.12
Te: 0.0000 0.5000 0.0000  2 I 2.91
P: 0.5000 0.5000 0.5000  8 Sr 4.26, 4 Te 4.41

Summary:
For the theoretical density, the calculation gives 3.382 g/cm3. Its total moment is 0.156 μB per atom.

<B>
The following is a PBE calculation of a geometry-optimized Sr2TePI structure, from Alexandria.

Cell: 5.9552 5.9552 5.2291 Å, 90.00 90.00 90.00°
With the nearest neighbours (Å) after each atom.
Fractional coordinates of all 5 atoms:
Te: 0.5000 0.5000 0.5000  8 Sr 3.96, 4 I 4.21
Sr: 0.0000 0.5000 0.0000  2 P 2.98
I: 0.0000 0.0000 0.5000  2 P 2.61
Sr: 0.5000 0.0000 0.0000  2 P 2.98
P: 0.0000 0.0000 0.0000  2 I 2.61

Summary:
For the theoretical density, the calculation gives 4.125 g/cm3. Its total moment is 0.001 μB per atom.

Stability comparison, relative energies in eV/atom: <A> 0.950; <B> 0.000

<A>
The following is a PBE calculation of a geometry-optimized TaP2I structure, from Alexandria.

Cell: 6.5154 6.5154 7.2156 Å, 63.16 63.16 90.00°
With the nearest neighbours (Å) after each atom.
Fractional coordinates of all 8 atoms:
I: 0.5000 0.5000 0.0000  4 P 3.09
Ta: 0.7500 0.2500 0.5000  4 P 2.37
P: 0.0325 0.6250 0.2500  2 Ta 2.37
Ta: 0.0000 0.0000 0.0000  4 P 2.37
P: 0.7175 0.1250 0.2500  2 Ta 2.37
P: 0.3750 0.2825 0.7500  2 Ta 2.37
P: 0.8750 0.9675 0.7500  2 Ta 2.37
I: 0.2500 0.7500 0.5000  4 P 3.09

Summary:
For the theoretical density, the calculation gives 5.210 g/cm3. Its total moment is 0.000 μB per atom.

<B>
The following is a PBE calculation of a geometry-optimized TaP2I structure, from Alexandria.

Cell: 4.6545 4.6545 4.6545 Å, 60.00 60.00 60.00°
With the nearest neighbours (Å) after each atom.
Fractional coordinates of all 4 atoms:
P: 0.7500 0.7500 0.7500  4 Ta 2.85, 4 I 2.85
P: 0.2500 0.2500 0.2500  4 Ta 2.85, 4 I 2.85
Ta: 0.5000 0.5000 0.5000  8 P 2.85
I: 0.0000 0.0000 0.0000  8 P 2.85

Summary:
For the theoretical density, the calculation gives 8.612 g/cm3. Its total moment is 0.000 μB per atom.

Stability comparison, relative energies in eV/atom: <A> 0.000; <B> 0.371

<A>
The following is a PBE calculation of a geometry-optimized TcP2I structure, from Alexandria.

Cell: 4.5720 4.5720 4.5720 Å, 60.00 60.00 60.00°
With the nearest neighbours (Å) after each atom.
Fractional coordinates of all 4 atoms:
P: 0.7500 0.7500 0.7500  4 I 2.80, 4 Tc 2.80
Tc: 0.0000 0.0000 0.0000  8 P 2.80
I: 0.5000 0.5000 0.5000  8 P 2.80
P: 0.2500 0.2500 0.2500  4 I 2.80, 4 Tc 2.80

Summary:
For the theoretical density, the calculation gives 7.049 g/cm3. Its total moment is 0.000 μB per atom.

<B>
The following is a PBE calculation of a geometry-optimized TcP2I structure, from Alexandria.

Cell: 6.3617 6.3617 6.8459 Å, 62.31 62.31 90.00°
With the nearest neighbours (Å) after each atom.
Fractional coordinates of all 8 atoms:
P: 0.2336 0.6250 0.2500  2 Tc 2.24
I: 0.7500 0.2500 0.5000  4 P 3.07
P: 0.8750 0.7664 0.7500  2 Tc 2.24
P: 0.5164 0.1250 0.2500  2 Tc 2.24
Tc: 0.5000 0.5000 0.0000  4 P 2.24
Tc: 0.2500 0.7500 0.5000  4 P 2.24
P: 0.3750 0.4836 0.7500  2 Tc 2.24
I: 0.0000 0.0000 0.0000  4 P 3.07

Summary:
For the theoretical density, the calculation gives 4.561 g/cm3. Its total moment is 0.000 μB per atom.

Stability comparison, relative energies in eV/atom: <A> 0.739; <B> 0.000

<A>
The following is a PBE calculation of a geometry-optimized TcPI2 structure, from Alexandria.

Cell: 10.1262 10.1262 7.5078 Å, 47.59 47.59 90.00°
With the nearest neighbours (Å) after each atom.
Fractional coordinates of all 8 atoms:
I: 0.7748 0.1250 0.2500  2 Tc 2.79
Tc: 0.0000 0.0000 0.0000  2 P 2.26
Tc: 0.7500 0.2500 0.5000  2 P 2.26
P: 0.2500 0.7500 0.5000  2 Tc 2.26
I: 0.8750 0.0248 0.7500  2 Tc 2.79
I: 0.3750 0.2252 0.7500  2 Tc 2.79
P: 0.5000 0.5000 0.0000  2 Tc 2.26
I: 0.9752 0.6250 0.2500  2 Tc 2.79

Summary:
For the theoretical density, the calculation gives 5.491 g/cm3. Its total moment is 0.000 μB per atom.

<B>
The following is a PBE calculation of a geometry-optimized TcPI2 structure, from Alexandria.

Cell: 4.9089 4.9089 4.9089 Å, 60.00 60.00 60.00°
With the nearest neighbours (Å) after each atom.
Fractional coordinates of all 4 atoms:
I: 0.7500 0.7500 0.7500  4 Tc 3.01, 4 P 3.01
P: 0.0000 0.0000 0.0000  8 I 3.01
I: 0.2500 0.2500 0.2500  4 Tc 3.01, 4 P 3.01
Tc: 0.5000 0.5000 0.5000  8 I 3.01

Summary:
For the theoretical density, the calculation gives 7.599 g/cm3. Its total moment is 0.000 μB per atom.

Stability comparison, relative energies in eV/atom: <A> 0.000; <B> 0.976

<A>
The following is a PBE calculation of a geometry-optimized TcPI3 structure, from Alexandria.

Cell: 5.5161 5.5161 5.5161 Å, 90.00 90.00 90.00°
With the nearest neighbours (Å) after each atom.
Fractional coordinates of all 5 atoms:
I: 0.0000 0.0000 0.5000  2 P 2.76
Tc: 0.5000 0.5000 0.5000  12 I 3.90
I: 0.5000 0.0000 0.0000  2 P 2.76
I: 0.0000 0.5000 0.0000  2 P 2.76
P: 0.0000 0.0000 0.0000  6 I 2.76

Summary:
For the theoretical density, the calculation gives 5.043 g/cm3. Its total moment is 1.009 μB per atom.

<B>
The following is a PBE calculation of a geometry-optimized TcPI3 structure, from Alexandria.

Cell: 5.3371 5.3371 5.3371 Å, 90.00 90.00 90.00°
With the nearest neighbours (Å) after each atom.
Fractional coordinates of all 5 atoms:
I: 0.0000 0.0000 0.5000  2 Tc 2.67
I: 0.0000 0.5000 0.0000  2 Tc 2.67
P: 0.5000 0.5000 0.5000  12 I 3.77
I: 0.5000 0.0000 0.0000  2 Tc 2.67
Tc: 0.0000 0.0000 0.0000  6 I 2.67

Summary:
For the theoretical density, the calculation gives 5.567 g/cm3. Its total moment is 0.000 μB per atom.

Stability comparison, relative energies in eV/atom: <A> 0.093; <B> 0.000